(1)
Entry from OQMD via LeMat-Bulk: an optimized crystal structure of CsPuTl (GGA-PBE).

POSCAR file:
```
CsPuTl
1.0
0.000 4.121 4.121
4.121 0.000 4.121
4.121 4.121 0.000
Tl Pu Cs
1 1 1
Cartesian
6.181 6.181 6.181
2.060 2.060 2.060
0.000 0.000 0.000
```

Values from the calculation:
spin magnetization: 6.98 μB per cell
total energy: -4.850 eV/atom
V: 46.64 A^3/atom


(2)
Entry from OQMD via LeMat-Bulk: an optimized crystal structure of CsTmPu (GGA-PBE).

POSCAR file:
```
CsTmPu
1.0
-4.113 -4.146 1.757
-5.308 1.799 2.406
-5.171 -0.694 -3.158
Pu Cs Tm
1 1 1
Cartesian
-10.944 -2.281 0.754
-3.648 -0.760 0.251
0.000 0.000 0.000
```

Values from the calculation:
spin magnetization: 8.14 μB per cell
total energy: -5.213 eV/atom
V: 53.47 A^3/atom


(3)
Entry from OQMD via LeMat-Bulk: an optimized crystal structure of CsTmPu (GGA-PBE).

POSCAR file:
```
CsTmPu
1.0
1.229 -2.116 5.112
-2.640 1.994 4.602
-3.786 -3.226 2.716
Tm Cs Pu
1 1 1
Cartesian
-3.898 -2.512 9.322
0.000 0.000 0.000
-1.299 -0.837 3.107
```

Values from the calculation:
spin magnetization: 6.76 μB per cell
total energy: -5.084 eV/atom
V: 42.90 A^3/atom


(4)
Entry from OQMD via LeMat-Bulk: an optimized crystal structure of CsPuU (GGA-PBE).

POSCAR file:
```
CsPuU
1.0
0.000 3.808 3.808
3.808 0.000 3.808
3.808 3.808 0.000
Pu Cs U
1 1 1
Cartesian
5.711 5.711 5.711
1.904 1.904 1.904
0.000 0.000 0.000
```

Values from the calculation:
spin magnetization: 10.84 μB per cell
total energy: -6.941 eV/atom
V: 36.80 A^3/atom


(5)
Entry from OQMD via LeMat-Bulk: an optimized crystal structure of CsPuU (GGA-PBE).

POSCAR file:
```
CsPuU
1.0
0.000 4.278 4.278
4.278 0.000 4.278
4.278 4.278 0.000
Pu U Cs
1 1 1
Cartesian
2.139 2.139 2.139
6.418 6.418 6.418
0.000 0.000 0.000
```

Values from the calculation:
spin magnetization: 11.44 μB per cell
total energy: -6.563 eV/atom
V: 52.21 A^3/atom


(6)
Entry from OQMD via LeMat-Bulk: an optimized crystal structure of CsRbRe (GGA-PBE).

POSCAR file:
```
CsRbRe
1.0
0.000 4.249 4.249
4.249 0.000 4.249
4.249 4.249 0.000
Rb Cs Re
1 1 1
Cartesian
6.374 6.374 6.374
2.125 2.125 2.125
0.000 0.000 0.000
```

Values from the calculation:
spin magnetization: 3.08 μB per cell
total energy: -2.701 eV/atom
V: 51.15 A^3/atom


(7)
Entry from OQMD via LeMat-Bulk: an optimized crystal structure of CsRbRe (GGA-PBE).

POSCAR file:
```
CsRbRe
1.0
1.463 -4.348 3.655
-3.994 -4.015 1.530
0.446 -5.493 -2.007
Rb Cs Re
1 1 1
Cartesian
-0.521 -3.464 0.794
0.000 0.000 0.000
-1.564 -10.392 2.383
```

Values from the calculation:
spin magnetization: 3.00 μB per cell
total energy: -2.549 eV/atom
V: 47.57 A^3/atom


(8)
Entry from OQMD via LeMat-Bulk: an optimized crystal structure of CsRbReSe2S (GGA-PBE).

POSCAR file:
```
CsRbReSe2S
1.0
-1.251 -3.797 -6.927
-4.266 -6.689 -1.012
-4.333 9.103 2.243
Se Re Rb Cs S
4 2 2 2 2
Cartesian
-3.577 -6.028 -2.365
-4.794 1.471 -1.724
-5.056 -2.853 -3.972
-1.941 -4.458 -5.575
-5.824 3.557 -1.229
-4.026 -4.939 -4.467
-7.783 -3.906 -5.877
-2.068 2.523 0.180
-7.406 0.088 -3.732
-2.445 -1.470 -1.965
-4.538 4.855 0.061
-5.313 -6.237 -5.758
```

Values from the calculation:
spin magnetization: 1.54 μB per cell
total energy: -4.904 eV/atom
V: 35.34 A^3/atom


(9)
Entry from OQMD via LeMat-Bulk: an optimized crystal structure of CsRbTb2S4 (GGA-PBE).

POSCAR file:
```
CsRbTb2S4
1.0
-3.350 -1.828 -1.486
2.226 -1.847 2.899
-8.710 6.935 11.106
S Tb Cs Rb
4 2 1 1
Cartesian
-7.160 2.678 7.203
-6.940 3.977 10.755
-1.036 -0.724 3.227
-4.533 0.587 3.855
-6.487 5.165 8.271
-2.223 1.770 2.835
-1.491 -1.835 -0.024
-3.988 1.627 6.991
```

Values from the calculation:
spin magnetization: 0.00 μB per cell
total energy: -5.293 eV/atom
V: 28.55 A^3/atom


(10)
Entry from OQMD via LeMat-Bulk: an optimized crystal structure of CsRbZrS3 (GGA-PBE).

POSCAR file:
```
CsRbZrS3
1.0
8.332 0.000 0.000
0.000 3.935 0.000
-1.158 0.000 10.687
S Zr Rb Cs
6 2 2 2
Cartesian
6.118 0.984 8.551
5.000 2.951 5.551
4.254 0.984 2.307
2.920 2.951 8.379
2.174 0.984 5.135
1.056 2.951 2.135
4.156 0.984 7.138
3.018 2.951 3.548
0.979 0.984 10.498
6.195 2.951 0.189
7.242 0.984 3.761
-0.068 2.951 6.926
```

Values from the calculation:
spin magnetization: 0.00 μB per cell
total energy: -5.187 eV/atom
V: 29.20 A^3/atom


(11)
Entry from OQMD via LeMat-Bulk: an optimized crystal structure of CsRbZrS3 (GGA-PBE).

POSCAR file:
```
CsRbZrS3
1.0
16.313 0.000 0.000
0.000 3.981 0.000
0.000 0.000 11.902
Cs S Zr Rb
4 12 4 4
Cartesian
3.183 2.986 8.435
11.339 2.986 9.418
13.130 0.995 3.467
4.973 0.995 2.484
9.070 0.995 10.891
8.321 2.986 8.029
13.811 0.995 7.832
7.242 2.986 1.011
2.502 2.986 4.069
7.992 0.995 3.873
0.164 2.986 9.824
5.654 0.995 10.020
15.398 2.986 4.940
16.148 0.995 2.078
0.914 0.995 6.961
10.658 2.986 1.882
0.785 0.995 4.328
8.941 0.995 1.623
7.372 2.986 10.278
15.528 2.986 7.574
1.798 2.986 0.693
9.955 2.986 5.258
6.358 0.995 6.644
14.514 0.995 11.209
```

Values from the calculation:
spin magnetization: 0.03 μB per cell
total energy: -5.109 eV/atom
V: 32.20 A^3/atom


(12)
Entry from OQMD via LeMat-Bulk: an optimized crystal structure of CsRbZrS3 (GGA-PBE).

POSCAR file:
```
CsRbZrS3
1.0
1.935 -9.195 0.000
1.935 9.195 0.000
0.000 0.000 11.422
Zr Cs S Rb
2 2 6 2
Cartesian
0.000 0.000 0.000
0.000 0.000 5.711
1.935 -2.855 8.567
1.935 2.855 2.856
1.935 1.706 5.721
1.935 -9.115 2.856
1.935 -1.706 0.010
1.935 9.115 8.567
1.935 1.706 11.412
1.935 -1.706 5.701
1.935 2.470 8.567
1.935 -2.470 2.856
```

Values from the calculation:
spin magnetization: 0.00 μB per cell
total energy: -4.965 eV/atom
V: 33.88 A^3/atom